1.
LiLa2Pb8: relaxed, PBE.

```
LiLa2Pb8
1.0
4.951 0.000 0.000
0.000 4.951 0.000
0.000 0.000 13.335
Li La Pb
1 2 8
Direct
0.000 0.000 0.000
0.000 0.000 0.315
0.000 0.000 0.685
0.000 0.500 0.500
0.500 0.000 0.500
0.500 0.500 0.309
0.500 0.500 0.691
0.000 0.500 0.125
0.500 0.000 0.125
0.000 0.500 0.875
0.500 0.000 0.875
```

Results
mass density	9.87	Mg/m³
formation enthalpy at 0 K	-0.344	eV/atom
total magnetization	0.0	μB/f.u.
calculated volume	326.9	Å³ per cell

2.
Mg4ZrTa3N8: relaxed, PBE.

```
Mg4ZrTa3N8
1.0
6.211 0.000 0.000
0.000 6.305 0.060
-3.105 -3.100 4.395
Mg Zr Ta N
4 1 3 8
Direct
0.500 0.000 0.000
0.500 0.000 0.500
0.000 0.000 0.000
0.000 0.000 0.500
0.000 0.500 0.000
0.500 0.500 0.000
0.500 0.500 0.500
0.000 0.500 0.500
0.252 0.743 0.991
0.252 0.743 0.504
0.253 0.258 0.505
0.739 0.743 0.991
0.261 0.257 0.009
0.747 0.742 0.495
0.748 0.257 0.496
0.748 0.257 0.009
```

Results
mass density	8.08	Mg/m³
formation energy from raw total energies	-1.141	eV per atom
total magnetization	0.0	μB/f.u.
calculated volume	173.3	Å³ per cell

3.
ScReRu: relaxed, PBE.

```
ScReRu
1.0
-1.074 -4.122 -2.802
3.349 -4.005 -0.031
-1.573 -4.368 2.390
Sc Re Ru
2 2 2
Direct
0.877 0.373 0.373
0.123 0.627 0.627
0.000 0.000 0.000
0.500 0.000 0.000
0.500 0.500 0.000
0.500 0.000 0.500
```

Results
mass density	10.83	Mg/m³
formation enthalpy at 0 K	-0.340	eV/atom
total magnetization	0.0	μB/f.u.
calculated volume	101.8	Å³ per cell

4.
AcCe2Ag2Sn2: relaxed, PBE.

```
AcCe2Ag2Sn2
1.0
-0.194 -0.444 4.774
3.285 -2.636 2.300
6.562 6.691 3.302
Ac Ce Ag Sn
1 2 2 2
Direct
0.000 0.000 0.000
0.145 0.145 0.565
0.855 0.855 0.435
0.571 0.571 0.286
0.429 0.429 0.714
0.739 0.739 0.783
0.261 0.261 0.217
```

Results
mass density	8.38	Mg/m³
formation enthalpy at 0 K	-0.406	eV/atom
total magnetization	2.4	μB/f.u.
calculated volume	190.3	Å³ per cell

5.
TbEr2Pt9: relaxed, PBE.

```
TbEr2Pt9
1.0
4.110 0.000 0.000
0.000 4.110 0.000
0.000 0.000 12.329
Tb Er Pt
1 2 9
Direct
0.000 0.000 0.000
0.000 0.000 0.334
0.000 0.000 0.666
0.500 0.500 0.000
0.500 0.500 0.334
0.500 0.500 0.666
0.500 0.000 0.169
0.500 0.000 0.500
0.500 0.000 0.831
0.000 0.500 0.169
0.000 0.500 0.500
0.000 0.500 0.831
```

Results
mass density	17.93	Mg/m³
formation enthalpy at 0 K	-1.055	eV/atom
total magnetization	0.0	μB/f.u.
calculated volume	208.3	Å³ per cell

6.
BaLiTc2: relaxed, PBE.

```
BaLiTc2
1.0
-3.509 -2.028 1.135
-0.390 -1.503 3.912
-3.792 4.148 3.473
Ba Li Tc
1 1 2
Direct
0.495 0.495 0.513
0.292 0.292 0.126
0.015 0.015 0.957
0.698 0.698 0.905
```

Results
mass density	5.99	Mg/m³
formation enthalpy at 0 K	0.373	eV/atom
total magnetization	0.0	μB/f.u.
calculated volume	94.3	Å³ per cell

7.
CsTl2GeTe: relaxed, PBE.

```
CsTl2GeTe
1.0
-0.578 5.135 2.252
-3.665 1.745 -4.919
-4.577 -1.740 2.793
Cs Tl Te Ge
1 2 1 1
Direct
0.000 0.500 0.000
0.000 0.000 0.500
0.500 0.000 0.000
0.500 0.500 0.500
0.000 0.000 0.000
```

Results
mass density	6.08	Mg/m³
formation energy from raw total energies	0.058	eV per atom
total magnetization	0.0	μB/f.u.
calculated volume	202.6	Å³ per cell

8.
PIr2Se: relaxed, PBE.

```
PIr2Se
1.0
1.482 3.429 0.000
-1.482 3.429 0.000
0.000 1.116 6.261
P Ir Se
1 2 1
Direct
0.000 0.000 0.500
0.265 0.265 0.696
0.735 0.735 0.304
0.500 0.500 0.000
```

Results
mass density	12.91	Mg/m³
formation energy from raw total energies	0.020	eV per atom
total magnetization	0.0	μB/f.u.
calculated volume	63.6	Å³ per cell